# GGA-PBE Sr2InGaAg6, optimized geometry
data_Sr2InGaAg6
_chemical_formula_sum 'Sr2 In1 Ga1 Ag6'
_space_group_name_H-M_alt 'P 1'
_space_group_IT_number 1
_space_group_name_Hall 'P 1'
_cell_length_a 5.8910
_cell_length_b 7.0812
_cell_length_c 7.3254
_cell_angle_alpha 77.96
_cell_angle_beta 66.35
_cell_angle_gamma 65.48
loop_
_atom_site_label
_atom_site_type_symbol
_atom_site_fract_x
_atom_site_fract_y
_atom_site_fract_z
Sr1 Sr 0.2460 0.2162 0.2924
Sr2 Sr 0.7540 0.7838 0.7076
In1 In 0.5000 0.5000 0.5000
Ga1 Ga 0.0000 0.0000 0.0000
Ag1 Ag 0.2412 0.2473 0.7670
Ag2 Ag 0.2477 0.5942 0.9093
Ag3 Ag 0.2561 0.7517 0.2329
Ag4 Ag 0.7439 0.2483 0.7671
Ag5 Ag 0.7523 0.4058 0.0907
Ag6 Ag 0.7588 0.7527 0.2330
# **Space-group type**: P-1
# **Energy relative to the elements**: -163 kJ/mol of formula units



# GGA-PBE LaZrZnCu, optimized geometry
data_LaZrZnCu
_chemical_formula_sum 'La1 Zr1 Zn1 Cu1'
_space_group_name_H-M_alt 'P 1'
_space_group_IT_number 1
_space_group_name_Hall 'P 1'
_cell_length_a 4.9761
_cell_length_b 4.9761
_cell_length_c 4.9761
_cell_angle_alpha 60.00
_cell_angle_beta 60.00
_cell_angle_gamma 60.00
loop_
_atom_site_label
_atom_site_type_symbol
_atom_site_fract_x
_atom_site_fract_y
_atom_site_fract_z
La1 La 0.0000 0.0000 0.0000
Zr1 Zr 0.5000 0.5000 0.5000
Zn1 Zn 0.7500 0.7500 0.7500
Cu1 Cu 0.2500 0.2500 0.2500
# **Space-group type**: F-43m
# **Energy relative to the elements**: -18 kJ/mol of formula units



# GGA-PBE YLuPt2, optimized geometry
data_YLuPt2
_chemical_formula_sum 'Y1 Lu1 Pt2'
_space_group_name_H-M_alt 'P 1'
_space_group_IT_number 1
_space_group_name_Hall 'P 1'
_cell_length_a 4.9001
_cell_length_b 4.9001
_cell_length_c 4.9001
_cell_angle_alpha 60.00
_cell_angle_beta 60.00
_cell_angle_gamma 60.00
loop_
_atom_site_label
_atom_site_type_symbol
_atom_site_fract_x
_atom_site_fract_y
_atom_site_fract_z
Y1 Y 0.0000 0.0000 0.0000
Lu1 Lu 0.5000 0.5000 0.5000
Pt1 Pt 0.2500 0.2500 0.2500
Pt2 Pt 0.7500 0.7500 0.7500
# **Space-group type**: Fm-3m
# **Energy relative to the elements**: -484 kJ/mol of formula units
# **E above lowest polymorph**: 0 meV/atom



# GGA-PBE LiPrSm2Se5, optimized geometry
data_LiPrSm2Se5
_chemical_formula_sum 'Li2 Pr2 Sm4 Se10'
_space_group_name_H-M_alt 'P 1'
_space_group_IT_number 1
_space_group_name_Hall 'P 1'
_cell_length_a 8.9517
_cell_length_b 8.9517
_cell_length_c 12.5696
_cell_angle_alpha 90.00
_cell_angle_beta 90.00
_cell_angle_gamma 153.13
loop_
_atom_site_label
_atom_site_type_symbol
_atom_site_fract_x
_atom_site_fract_y
_atom_site_fract_z
Li1 Li 0.0115 0.9885 0.5000
Li2 Li 0.9885 0.0115 0.0000
Pr1 Pr 0.3050 0.6950 0.0148
Pr2 Pr 0.6950 0.3050 0.5148
Sm1 Sm 0.3786 0.6214 0.3108
Sm2 Sm 0.3909 0.6091 0.6996
Sm3 Sm 0.6091 0.3909 0.1996
Sm4 Sm 0.6214 0.3786 0.8108
Se1 Se 0.0020 0.9980 0.3025
Se2 Se 0.1357 0.8643 0.0152
Se3 Se 0.1912 0.8088 0.3481
Se4 Se 0.2105 0.7895 0.6820
Se5 Se 0.4577 0.5423 0.0929
Se6 Se 0.5423 0.4577 0.5929
Se7 Se 0.7895 0.2105 0.1820
Se8 Se 0.8088 0.1912 0.8481
Se9 Se 0.8643 0.1357 0.5152
Se10 Se 0.9980 0.0020 0.8025
# **Space-group type**: Cmc2_1
# **E_form (uncorrected)**: -1.703 eV per atom



# GGA-PBE Co3PdCl, optimized geometry
data_Co3PdCl
_chemical_formula_sum 'Co3 Pd1 Cl1'
_space_group_name_H-M_alt 'P 1'
_space_group_IT_number 1
_space_group_name_Hall 'P 1'
_cell_length_a 4.1025
_cell_length_b 4.1025
_cell_length_c 4.1025
_cell_angle_alpha 90.00
_cell_angle_beta 90.00
_cell_angle_gamma 90.00
loop_
_atom_site_label
_atom_site_type_symbol
_atom_site_fract_x
_atom_site_fract_y
_atom_site_fract_z
Co1 Co 0.0000 0.0000 0.5000
Co2 Co 0.0000 0.5000 0.0000
Co3 Co 0.5000 0.0000 0.0000
Pd1 Pd 0.5000 0.5000 0.5000
Cl1 Cl 0.0000 0.0000 0.0000
# **Space-group type**: Pm-3m
# **E above lowest polymorph**: 0 meV/atom
# **E_form (uncorrected)**: 0.692 eV per atom



# GGA-PBE Pm2TmUO8, optimized geometry
data_Pm2TmUO8
_chemical_formula_sum 'Pm2 Tm1 U1 O8'
_space_group_name_H-M_alt 'P 1'
_space_group_IT_number 1
_space_group_name_Hall 'P 1'
_cell_length_a 3.8810
_cell_length_b 5.4570
_cell_length_c 7.5901
_cell_angle_alpha 90.00
_cell_angle_beta 90.00
_cell_angle_gamma 90.00
loop_
_atom_site_label
_atom_site_type_symbol
_atom_site_fract_x
_atom_site_fract_y
_atom_site_fract_z
Pm1 Pm 0.0000 0.0000 0.2488
Pm2 Pm 0.0000 0.0000 0.7512
Tm1 Tm 0.5000 0.5000 0.0000
U1 U 0.5000 0.5000 0.5000
O1 O 0.0000 0.2610 0.0000
O2 O 0.0000 0.2743 0.5000
O3 O 0.0000 0.7257 0.5000
O4 O 0.0000 0.7390 0.0000
O5 O 0.5000 0.2668 0.2707
O6 O 0.5000 0.2668 0.7293
O7 O 0.5000 0.7332 0.2707
O8 O 0.5000 0.7332 0.7293
# **Space-group type**: Pmmm
# **E_form (uncorrected)**: -3.225 eV per atom



no.,total magnetic moment (μB/f.u.),E (eV per atom)
1,0.00,-2.79
2,0.78,-4.76
3,0.00,-7.02
4,0.00,-5.43
5,3.97,-4.98
6,0.00,-8.64